Record 1
Entry from OQMD via LeMat-Bulk: Zr2BrCl5 after structural relaxation (PBE).

Results
Its volume is 227.8 Å³/f.u. The calculation puts the total energy at -5.164 eV/atom. The calculation puts the total magnetization at 0.020 Bohr magnetons per cell.

Cell: 6.1050 11.3087 6.5993 Å, 90.00 90.00 90.00°
Sites, in units of the cell vectors:
Zr  0.2431  0.0000  0.0000
Zr  0.2431  0.5000  0.5000
Zr  0.7569  0.0000  0.0000
Zr  0.7569  0.5000  0.5000
Br  0.5000  0.0000  0.3346
Br  0.5000  0.5000  0.8346
Cl  0.0000  0.0000  0.6853
Cl  0.0000  0.1593  0.1543
Cl  0.0000  0.3407  0.6543
Cl  0.0000  0.5000  0.1853
Cl  0.0000  0.6593  0.6543
Cl  0.0000  0.8407  0.1543
Cl  0.5000  0.1559  0.8450
Cl  0.5000  0.3441  0.3450
Cl  0.5000  0.6559  0.3450
Cl  0.5000  0.8441  0.8450

Record 2
Entry from OQMD via LeMat-Bulk: CoBr4 after structural relaxation (PBE).

Results
Its volume is 125.5 Å³/f.u. The calculation puts the total energy at -2.872 eV/atom. The calculation puts the total magnetization at 0.037 Bohr magnetons per cell.

Cell: 7.1631 6.0471 6.2431 Å, 90.00 111.84 90.00°
Sites, in units of the cell vectors:
Co  0.0000  0.0000  0.0000
Co  0.0000  0.5000  0.5000
Br  0.1441  0.1911  0.3671
Br  0.1441  0.3089  0.8671
Br  0.3118  0.6834  0.6133
Br  0.3118  0.8166  0.1133
Br  0.6882  0.1834  0.8867
Br  0.6882  0.3166  0.3867
Br  0.8559  0.6911  0.1329
Br  0.8559  0.8089  0.6329

Record 3
Entry from OQMD via LeMat-Bulk: CoBr2 after structural relaxation (PBE).

Results
Its volume is 85.6 Å³/f.u. The calculation puts the total energy at -3.755 eV/atom. The calculation puts the total magnetization at 11.993 Bohr magnetons per cell.

Cell: 6.7101 7.9900 6.3859 Å, 90.00 90.00 90.00°
Sites, in units of the cell vectors:
Co  0.0808  0.1269  0.0000
Co  0.4192  0.6269  0.5000
Co  0.5808  0.3731  0.0000
Co  0.9192  0.8731  0.5000
Br  0.0729  0.1258  0.6232
Br  0.0821  0.6261  0.6252
Br  0.4179  0.1261  0.1252
Br  0.4271  0.6258  0.1232
Br  0.5729  0.3742  0.6232
Br  0.5821  0.8739  0.6252
Br  0.9179  0.3739  0.1252
Br  0.9271  0.8742  0.1232

Record 4
Entry from OQMD via LeMat-Bulk: CoBr2 after structural relaxation (PBE).

Results
Its volume is 84.7 Å³/f.u. The calculation puts the total energy at -3.591 eV/atom. The calculation puts the total magnetization at 4.541 Bohr magnetons per cell.

Cell: 13.2501 4.1535 6.3253 Å, 90.00 103.33 90.00°
Sites, in units of the cell vectors:
Co  0.0000  0.0000  0.0000
Co  0.0000  0.0000  0.5000
Co  0.5000  0.5000  0.0000
Co  0.5000  0.5000  0.5000
Br  0.1237  0.1542  0.3086
Br  0.1237  0.8458  0.8086
Br  0.3763  0.3458  0.6914
Br  0.3763  0.6542  0.1914
Br  0.6237  0.3458  0.8086
Br  0.6237  0.6542  0.3086
Br  0.8763  0.1542  0.1914
Br  0.8763  0.8458  0.6914